[1]
An optimized crystal structure of Ba2PmNiO5. Source: Alexandria via LeMat-Bulk, functional PBE+U.

The total magnetic moment is 3.07 μB/f.u. The energy is -6.23 eV per atom.

The structure belongs to space group Cmc2_1 (No. 36); the cell edges are 3.605, 15.328 and 11.387 Å and the angles 90.00°, 90.00° and 90.00°. Symmetry generates all atoms from Ba at (0.000, 0.111, 0.000), Ba at (0.000, 0.136, 0.657), Pm at (0.000, 0.196, 0.356), Ni at (0.000, 0.455, 0.749), O at (0.000, 0.031, 0.318), O at (0.000, 0.295, 0.986), O at (0.000, 0.332, 0.715), O at (0.000, 0.340, 0.332) and O at (0.000, 0.494, 0.107).

---

[2]
An optimized crystal structure of BaPr2NiO5. Source: Alexandria via LeMat-Bulk, functional PBE+U.

The total magnetic moment is 2.00 μB/f.u. Its energy relative to the lowest polymorph listed for this composition is 0.0 meV/atom.

The structure belongs to space group Immm (No. 71); the cell edges are 3.878, 6.024 and 11.888 Å and the angles 90.00°, 90.00° and 90.00°. Symmetry generates all atoms from Ba at (0.000, 0.000, 0.000), Pr at (0.000, 0.500, 0.203), Ni at (0.000, 0.000, 0.500), O at (0.000, 0.242, 0.356) and O at (0.000, 0.500, 0.000).

---

[3]
An optimized crystal structure of BaPr2NiO5. Source: Alexandria via LeMat-Bulk, functional PBE+U.

The total magnetic moment is 1.96 μB/f.u. Its energy relative to the lowest polymorph listed for this composition is 23.3 meV/atom.

The structure belongs to space group I4/mcm (No. 140); the cell edges are 6.830, 6.830 and 11.774 Å and the angles 90.00°, 90.00° and 90.00°. Symmetry generates all atoms from Ba at (0.000, 0.000, 0.250), Pr at (0.174, 0.326, 0.000), Ni at (0.000, 0.500, 0.250), O at (0.000, 0.000, 0.000) and O at (0.140, 0.360, 0.370).